Material: Sr2Be3
Method: DFT, meta-GGA SCAN
State: PBEsol geometry

Properties
- formation energy from the elements (eV per atom) = 0.5898
- space group = R-3m (166)

```
Sr2Be3
1.0
-3.493 -0.903 -2.043
-0.364 -3.623 -1.982
-4.392 -4.927 5.480
Sr Be
2 3
Direct
0.583 0.583 0.252
0.417 0.417 0.748
0.166 0.166 0.503
0.834 0.834 0.497
0.000 0.000 0.000
```

=====

Material: HgMo3
Method: DFT, meta-GGA SCAN
State: PBEsol geometry

Properties
- formation energy from the elements (eV per atom) = 0.3975
- space group = P2/m (10)

```
HgMo3
1.0
-0.990 1.114 2.314
2.537 -2.564 2.320
4.309 3.545 -0.794
Mo Hg
3 1
Direct
0.576 0.500 0.281
0.000 0.000 0.500
0.424 0.500 0.719
0.000 0.000 0.000
```

=====

Material: SmHO2
Method: DFT, meta-GGA SCAN
State: PBEsol geometry

Properties
- space group = Pnma (62)

```
SmHO2
1.0
-1.570 -3.109 1.073
3.434 -0.411 3.832
-6.517 5.511 6.431
O H Sm
8 4 4
Direct
0.750 0.844 0.922
0.250 0.619 0.181
0.750 0.119 0.319
0.750 0.656 0.422
0.250 0.881 0.681
0.750 0.381 0.819
0.250 0.156 0.078
0.250 0.344 0.578
0.750 0.655 0.893
0.250 0.345 0.107
0.250 0.155 0.607
0.750 0.845 0.393
0.250 0.130 0.856
0.750 0.630 0.644
0.250 0.370 0.356
0.750 0.870 0.144
```

=====

| no. | size of the total moment (μB per cell) | E (eV per atom) |
| --- | --- | --- |
| 1 | 0.572 | -10.93 |
| 2 | 0.000 | -42.81 |
| 3 | 0.000 | -17.86 |